Crystalline TlGaPb3 at its relaxed geometry. Source: Alexandria, functional PBE-GGA.

Structure (CIF):
```
data_TlGaPb3
_chemical_formula_sum 'Tl1 Ga1 Pb3'
_space_group_name_H-M_alt 'P 1'
_space_group_IT_number 1
_cell_length_a 5.910
_cell_length_b 5.910
_cell_length_c 5.910
_cell_angle_alpha 90.00
_cell_angle_beta 90.00
_cell_angle_gamma 90.00
loop_
_space_group_symop_operation_xyz
'x,y,z'
loop_
_atom_site_label
_atom_site_fract_x
_atom_site_fract_y
_atom_site_fract_z
Pb1 0.000 0.500 0.000
Pb2 0.000 0.000 0.500
Pb3 0.500 0.000 0.000
Tl1 0.000 0.000 0.000
Ga1 0.500 0.500 0.500
```

Output
Formation enthalpy at 0 K: 14.86 kcal/mol of atoms
Space-group type: Pm-3m, No. 221

Crystalline TbY12Ho6 at its relaxed geometry. Source: Alexandria, functional PBE-GGA.

Structure (CIF):
```
data_TbY12Ho6
_chemical_formula_sum 'Tb1 Y12 Ho6'
_space_group_name_H-M_alt 'P 1'
_space_group_IT_number 1
_cell_length_a 8.542
_cell_length_b 8.542
_cell_length_c 8.542
_cell_angle_alpha 87.93
_cell_angle_beta 87.93
_cell_angle_gamma 87.93
loop_
_space_group_symop_operation_xyz
'x,y,z'
loop_
_atom_site_label
_atom_site_fract_x
_atom_site_fract_y
_atom_site_fract_z
Tb1 0.000 0.000 0.000
Y1 0.776 0.543 0.436
Y2 0.436 0.776 0.543
Y3 0.543 0.436 0.776
Y4 0.224 0.457 0.564
Y5 0.564 0.224 0.457
Y6 0.457 0.564 0.224
Y7 0.010 0.203 0.359
Y8 0.797 0.641 0.990
Y9 0.641 0.990 0.797
Y10 0.990 0.797 0.641
Y11 0.203 0.359 0.010
Y12 0.359 0.010 0.203
Ho1 0.745 0.907 0.307
Ho2 0.693 0.255 0.093
Ho3 0.093 0.693 0.255
Ho4 0.255 0.093 0.693
Ho5 0.307 0.745 0.907
Ho6 0.907 0.307 0.745
```

Output
Formation enthalpy at 0 K: 3.51 kcal/mol of atoms
Space-group type: R-3, No. 148

Crystalline NdTcP2 at its relaxed geometry. Source: Alexandria, functional PBE-GGA.

Structure (CIF):
```
data_NdTcP2
_chemical_formula_sum 'Nd1 Tc1 P2'
_space_group_name_H-M_alt 'P 1'
_space_group_IT_number 1
_cell_length_a 4.121
_cell_length_b 4.121
_cell_length_c 5.461
_cell_angle_alpha 67.83
_cell_angle_beta 67.83
_cell_angle_gamma 60.00
loop_
_space_group_symop_operation_xyz
'x,y,z'
loop_
_atom_site_label
_atom_site_fract_x
_atom_site_fract_y
_atom_site_fract_z
P1 0.287 0.287 0.139
P2 0.713 0.713 0.861
Nd1 0.500 0.500 0.500
Tc1 0.000 0.000 0.000
```

Output
Formation enthalpy at 0 K: -19.89 kcal/mol of atoms
Space-group type: R-3m, No. 166

Crystalline MgGa12Ag6 at its relaxed geometry. Source: Alexandria, functional PBE-GGA.

Structure (CIF):
```
data_MgGa12Ag6
_chemical_formula_sum 'Mg1 Ga12 Ag6'
_space_group_name_H-M_alt 'P 1'
_space_group_IT_number 1
_cell_length_a 7.120
_cell_length_b 7.120
_cell_length_c 7.120
_cell_angle_alpha 87.62
_cell_angle_beta 92.38
_cell_angle_gamma 92.38
loop_
_space_group_symop_operation_xyz
'x,y,z'
loop_
_atom_site_label
_atom_site_fract_x
_atom_site_fract_y
_atom_site_fract_z
Mg1 0.000 0.000 0.000
Ga1 0.504 0.812 0.415
Ga2 0.188 0.415 0.496
Ga3 0.585 0.496 0.812
Ga4 0.496 0.188 0.585
Ga5 0.812 0.585 0.504
Ga6 0.415 0.504 0.188
Ga7 0.841 0.032 0.368
Ga8 0.368 0.841 0.968
Ga9 0.032 0.632 0.841
Ga10 0.159 0.968 0.632
Ga11 0.632 0.159 0.032
Ga12 0.968 0.368 0.159
Ag1 0.133 0.764 0.317
Ag2 0.764 0.683 0.133
Ag3 0.317 0.133 0.236
Ag4 0.867 0.236 0.683
Ag5 0.236 0.317 0.867
Ag6 0.683 0.867 0.764
```

Output
Formation enthalpy at 0 K: 0.49 kcal/mol of atoms
Space-group type: R-3, No. 148

Crystalline BaEr2Sc at its relaxed geometry. Source: Alexandria, functional PBE-GGA.

Structure (CIF):
```
data_BaEr2Sc
_chemical_formula_sum 'Ba1 Er2 Sc1'
_space_group_name_H-M_alt 'P 1'
_space_group_IT_number 1
_cell_length_a 3.885
_cell_length_b 3.885
_cell_length_c 9.427
_cell_angle_alpha 90.00
_cell_angle_beta 90.00
_cell_angle_gamma 90.00
loop_
_space_group_symop_operation_xyz
'x,y,z'
loop_
_atom_site_label
_atom_site_fract_x
_atom_site_fract_y
_atom_site_fract_z
Sc1 0.500 0.500 0.000
Ba1 0.500 0.500 0.500
Er1 0.000 0.000 0.814
Er2 0.000 0.000 0.186
```

Output
Formation enthalpy at 0 K: 3.87 kcal/mol of atoms
Space-group type: P4/mmm, No. 123

Crystalline Re2NiOsRh at its relaxed geometry. Source: Alexandria, functional PBE-GGA.

Structure (CIF):
```
data_Re2NiOsRh
_chemical_formula_sum 'Re2 Ni1 Os1 Rh1'
_space_group_name_H-M_alt 'P 1'
_space_group_IT_number 1
_cell_length_a 4.658
_cell_length_b 4.439
_cell_length_c 4.658
_cell_angle_alpha 90.00
_cell_angle_beta 90.00
_cell_angle_gamma 90.00
loop_
_space_group_symop_operation_xyz
'x,y,z'
loop_
_atom_site_label
_atom_site_fract_x
_atom_site_fract_y
_atom_site_fract_z
Re1 0.000 0.000 0.500
Re2 0.500 0.000 0.000
Os1 0.000 0.000 0.000
Rh1 0.500 0.500 0.500
Ni1 0.000 0.500 0.000
```

Output
Formation enthalpy at 0 K: 46.41 kcal/mol of atoms
Space-group type: P4/mmm, No. 123

Crystalline Pa2Ge4Ru5 at its relaxed geometry. Source: Alexandria, functional PBE-GGA.

Structure (CIF):
```
data_Pa2Ge4Ru5
_chemical_formula_sum 'Pa2 Ge4 Ru5'
_space_group_name_H-M_alt 'P 1'
_space_group_IT_number 1
_cell_length_a 5.721
_cell_length_b 5.574
_cell_length_c 7.789
_cell_angle_alpha 79.14
_cell_angle_beta 68.45
_cell_angle_gamma 59.12
loop_
_space_group_symop_operation_xyz
'x,y,z'
loop_
_atom_site_label
_atom_site_fract_x
_atom_site_fract_y
_atom_site_fract_z
Pa1 0.888 0.000 0.225
Pa2 0.112 0.000 0.775
Ge1 0.478 0.309 0.735
Ge2 0.522 0.691 0.265
Ge3 0.213 0.309 0.265
Ge4 0.787 0.691 0.735
Ru1 0.500 0.000 0.000
Ru2 0.000 0.500 0.000
Ru3 0.500 0.500 0.000
Ru4 0.250 0.500 0.500
Ru5 0.750 0.500 0.500
```

Output
Formation enthalpy at 0 K: -8.26 kcal/mol of atoms
Space-group type: Fmmm, No. 69

Crystalline PtAuI4 at its relaxed geometry. Source: Alexandria, functional PBE-GGA.

Structure (CIF):
```
data_PtAuI4
_chemical_formula_sum 'Pt2 Au2 I8'
_space_group_name_H-M_alt 'P 1'
_space_group_IT_number 1
_cell_length_a 5.839
_cell_length_b 11.075
_cell_length_c 8.618
_cell_angle_alpha 113.96
_cell_angle_beta 90.00
_cell_angle_gamma 105.28
loop_
_space_group_symop_operation_xyz
'x,y,z'
loop_
_atom_site_label
_atom_site_fract_x
_atom_site_fract_y
_atom_site_fract_z
Pt1 0.199 0.398 0.328
Pt2 0.801 0.602 0.672
Au1 0.139 0.277 0.758
Au2 0.861 0.723 0.242
I1 0.092 0.183 0.417
I2 0.099 0.197 0.009
I3 0.706 0.412 0.347
I4 0.704 0.408 0.791
I5 0.296 0.592 0.209
I6 0.294 0.588 0.653
I7 0.901 0.803 0.991
I8 0.908 0.817 0.583
```

Output
Energy relative to the elements, uncorrected: -0.07 eV per atom
Space-group type: C2/m, No. 12

Crystalline NaLiLa2Fe at its relaxed geometry. Source: Alexandria, functional PBE-GGA.

Structure (CIF):
```
data_NaLiLa2Fe
_chemical_formula_sum 'Na1 Li1 La2 Fe1'
_space_group_name_H-M_alt 'P 1'
_space_group_IT_number 1
_cell_length_a 5.119
_cell_length_b 5.119
_cell_length_c 5.536
_cell_angle_alpha 90.00
_cell_angle_beta 90.00
_cell_angle_gamma 90.00
loop_
_space_group_symop_operation_xyz
'x,y,z'
loop_
_atom_site_label
_atom_site_fract_x
_atom_site_fract_y
_atom_site_fract_z
Na1 0.500 0.500 0.500
Li1 0.000 0.000 0.500
Fe1 0.000 0.000 0.000
La1 0.000 0.500 0.000
La2 0.500 0.000 0.000
```

Output
Formation enthalpy at 0 K: 4.10 kcal/mol of atoms
Space-group type: P4/mmm, No. 123

Crystalline Ba2CaYAg at its relaxed geometry. Source: Alexandria, functional PBE-GGA.

Structure (CIF):
```
data_Ba2CaYAg
_chemical_formula_sum 'Ba2 Ca1 Y1 Ag1'
_space_group_name_H-M_alt 'P 1'
_space_group_IT_number 1
_cell_length_a 6.471
_cell_length_b 5.751
_cell_length_c 6.471
_cell_angle_alpha 90.00
_cell_angle_beta 90.00
_cell_angle_gamma 90.00
loop_
_space_group_symop_operation_xyz
'x,y,z'
loop_
_atom_site_label
_atom_site_fract_x
_atom_site_fract_y
_atom_site_fract_z
Y1 0.000 0.500 0.000
Ca1 0.500 0.500 0.500
Ba1 0.000 0.000 0.500
Ba2 0.500 0.000 0.000
Ag1 0.000 0.000 0.000
```

Output
Formation enthalpy at 0 K: 3.36 kcal/mol of atoms
Space-group type: P4/mmm, No. 123

Crystalline Pr7SeI12 at its relaxed geometry. Source: Alexandria, functional PBE-GGA.

Structure (CIF):
```
data_Pr7SeI12
_chemical_formula_sum 'Pr7 Se1 I12'
_space_group_name_H-M_alt 'P 1'
_space_group_IT_number 1
_cell_length_a 10.019
_cell_length_b 10.019
_cell_length_c 10.019
_cell_angle_alpha 108.02
_cell_angle_beta 108.02
_cell_angle_gamma 108.02
loop_
_space_group_symop_operation_xyz
'x,y,z'
loop_
_atom_site_label
_atom_site_fract_x
_atom_site_fract_y
_atom_site_fract_z
Pr1 0.962 0.686 0.891
Pr2 0.314 0.109 0.038
Pr3 0.109 0.038 0.314
Pr4 0.500 0.500 0.500
Pr5 0.891 0.962 0.686
Pr6 0.686 0.891 0.962
Pr7 0.038 0.314 0.109
Se1 0.000 0.000 0.000
I1 0.922 0.312 0.772
I2 0.688 0.228 0.078
I3 0.475 0.153 0.392
I4 0.847 0.608 0.525
I5 0.228 0.078 0.688
I6 0.608 0.525 0.847
I7 0.392 0.475 0.153
I8 0.772 0.922 0.312
I9 0.153 0.392 0.475
I10 0.525 0.847 0.608
I11 0.312 0.772 0.922
I12 0.078 0.688 0.228
```

Output
Energy relative to the elements, uncorrected: -1.40 eV per atom
Space-group type: R-3, No. 148

Crystalline NaCaIO2 at its relaxed geometry. Source: Alexandria, functional PBE-GGA.

Structure (CIF):
```
data_NaCaIO2
_chemical_formula_sum 'Na1 Ca1 I1 O2'
_space_group_name_H-M_alt 'P 1'
_space_group_IT_number 1
_cell_length_a 4.515
_cell_length_b 4.515
_cell_length_c 6.503
_cell_angle_alpha 90.00
_cell_angle_beta 90.00
_cell_angle_gamma 90.00
loop_
_space_group_symop_operation_xyz
'x,y,z'
loop_
_atom_site_label
_atom_site_fract_x
_atom_site_fract_y
_atom_site_fract_z
I1 0.000 0.000 0.500
Na1 0.500 0.500 0.500
Ca1 0.000 0.000 0.000
O1 0.000 0.500 0.000
O2 0.500 0.000 0.000
```

Output
Energy relative to the elements, uncorrected: -0.95 eV per atom
Space-group type: P4/mmm, No. 123

> Number 8 is which compound?

PtAuI4